# Gd2Dy PBE relaxed
data_Gd2Dy
_chemical_formula_sum 'Gd4 Dy2'
_cell_length_a 6.5674
_cell_length_b 6.5674
_cell_length_c 6.5674
_cell_angle_alpha 60.00
_cell_angle_beta 60.00
_cell_angle_gamma 60.00
_space_group_name_H-M_alt 'P 1'
_space_group_IT_number 1
_space_group_name_Hall 'P 1'
loop_
_atom_site_label
_atom_site_fract_x
_atom_site_fract_y
_atom_site_fract_z
_atom_site_occupancy
Gd1 0.6250 0.1250 0.6250 1
Gd2 0.6250 0.6250 0.6250 1
Gd3 0.1250 0.6250 0.6250 1
Gd4 0.6250 0.6250 0.1250 1
Dy1 0.2500 0.2500 0.2500 1
Dy2 0.0000 0.0000 0.0000 1
# Excess energy over the best structure of this formula in the dataset   0.50 eV/f.u.
# SG   Fd-3m (227)
# Raw total energy   -10.66 eV per atom
# Calculated density   7.9 g/cm3
# DOS at the Fermi energy   5.97 states/eV/f.u.
# Energy relative to the elements   5.922 kcal/mol of atoms
# M_tot   14.25 μB/f.u.